Record 1
{
  "formula": "Ca2BeIr",
  "functional": "PBE-GGA",
  "state": "relaxed",
  "cell": [[3.742, 0.000, 0.000], [0.000, 4.539, 0.000], [0.000, 0.000, 10.631]],
  "species": ["Ca", "Ca", "Ca", "Ca", "Be", "Be", "Ir", "Ir"],
  "frac_coords": [[0.000, 0.000, 0.000], [0.000, 0.500, 0.227], [0.500, 0.000, 0.727], [0.500, 0.500, 0.500], [0.000, 0.000, 0.420], [0.500, 0.500, 0.920], [0.000, 0.500, 0.817], [0.500, 0.000, 0.317]],
  "sg": "Imm2"
}

Record 2
{
  "formula": "Ca2BeIr",
  "functional": "PBE-GGA",
  "state": "relaxed",
  "cell": [[6.815, 0.000, 0.000], [0.000, 3.935, 0.000], [-2.257, 0.000, 7.520]],
  "species": ["Ca", "Ca", "Ca", "Ca", "Be", "Be", "Ir", "Ir"],
  "frac_coords": [[0.000, 0.000, 0.000], [0.172, 0.000, 0.519], [0.500, 0.500, 0.000], [0.672, 0.500, 0.519], [0.419, 0.000, 0.259], [0.919, 0.500, 0.259], [0.252, 0.500, 0.260], [0.752, 0.000, 0.260]],
  "sg": "Cm"
}

Record 3
{
  "formula": "CaBeIr2",
  "functional": "PBE-GGA",
  "state": "relaxed",
  "cell": [[6.333, 0.000, 0.000], [0.000, 6.333, 0.000], [0.000, 0.000, 6.333]],
  "species": ["Ca", "Ca", "Ca", "Ca", "Be", "Be", "Be", "Be", "Ir", "Ir", "Ir", "Ir", "Ir", "Ir", "Ir", "Ir"],
  "frac_coords": [[0.000, 0.000, 0.000], [0.000, 0.500, 0.500], [0.500, 0.000, 0.500], [0.500, 0.500, 0.000], [0.250, 0.250, 0.250], [0.250, 0.750, 0.750], [0.750, 0.250, 0.750], [0.750, 0.750, 0.250], [0.000, 0.000, 0.500], [0.000, 0.500, 0.000], [0.250, 0.250, 0.750], [0.250, 0.750, 0.250], [0.500, 0.000, 0.000], [0.500, 0.500, 0.500], [0.750, 0.250, 0.250], [0.750, 0.750, 0.750]],
  "sg": "F-43m"
}

Record 4
{
  "formula": "CaBe3Ir",
  "functional": "PBE-GGA",
  "state": "relaxed",
  "cell": [[4.258, 0.000, 0.000], [0.000, 4.258, 0.000], [0.000, 0.000, 4.258]],
  "species": ["Ca", "Be", "Be", "Be", "Ir"],
  "frac_coords": [[0.000, 0.000, 0.000], [0.000, 0.000, 0.500], [0.000, 0.500, 0.000], [0.500, 0.000, 0.000], [0.500, 0.500, 0.500]],
  "sg": "Pm-3m"
}

Record 5
{
  "formula": "CaBeIr",
  "functional": "PBE-GGA",
  "state": "relaxed",
  "cell": [[5.077, 0.000, 0.000], [0.000, 5.544, 0.000], [0.000, 0.000, 6.921]],
  "species": ["Ca", "Ca", "Ca", "Ca", "Be", "Be", "Be", "Be", "Ir", "Ir", "Ir", "Ir"],
  "frac_coords": [[0.000, 0.250, 0.128], [0.000, 0.750, 0.872], [0.500, 0.250, 0.372], [0.500, 0.750, 0.628], [0.250, 0.250, 0.750], [0.250, 0.750, 0.250], [0.750, 0.250, 0.750], [0.750, 0.750, 0.250], [0.000, 0.000, 0.500], [0.000, 0.500, 0.500], [0.500, 0.000, 0.000], [0.500, 0.500, 0.000]],
  "sg": "Imma"
}

Record 6
{
  "formula": "CaBeIr2",
  "functional": "PBE-GGA",
  "state": "relaxed",
  "cell": [[2.904, 0.000, 0.000], [0.000, 2.904, 0.000], [0.000, 0.000, 7.180]],
  "species": ["Ca", "Be", "Ir", "Ir"],
  "frac_coords": [[0.000, 0.000, 0.000], [0.000, 0.000, 0.500], [0.500, 0.500, 0.310], [0.500, 0.500, 0.690]],
  "sg": "P4/mmm"
}

Record 7
{
  "formula": "Ca2BeIr",
  "functional": "PBE-GGA",
  "state": "relaxed",
  "cell": [[4.359, 0.000, 0.000], [0.000, 4.359, 0.000], [0.000, 0.000, 8.194]],
  "species": ["Ca", "Ca", "Ca", "Ca", "Be", "Be", "Ir", "Ir"],
  "frac_coords": [[0.000, 0.000, 0.000], [0.000, 0.500, 0.250], [0.500, 0.000, 0.750], [0.500, 0.500, 0.500], [0.000, 0.000, 0.500], [0.500, 0.500, 0.000], [0.000, 0.500, 0.750], [0.500, 0.000, 0.250]],
  "sg": "I-4m2"
}

Record 8
{
  "formula": "CaBeIr2",
  "functional": "PBE-GGA",
  "state": "relaxed",
  "cell": [[3.041, 0.000, 0.000], [0.000, 3.041, 0.000], [0.000, 0.000, 6.938]],
  "species": ["Ca", "Be", "Ir", "Ir"],
  "frac_coords": [[0.000, 0.000, 0.000], [0.500, 0.500, 0.662], [0.000, 0.000, 0.555], [0.500, 0.500, 0.288]],
  "sg": "P4mm"
}

Record 9
{
  "formula": "CaBeIr2",
  "functional": "PBE-GGA",
  "state": "relaxed",
  "cell": [[3.019, 0.000, 0.000], [-1.509, 2.614, 0.000], [0.000, 0.000, 23.177]],
  "species": ["Ca", "Ca", "Ca", "Be", "Be", "Be", "Ir", "Ir", "Ir", "Ir", "Ir", "Ir"],
  "frac_coords": [[0.000, 0.000, 0.000], [0.333, 0.667, 0.667], [0.667, 0.333, 0.333], [0.000, 0.000, 0.500], [0.333, 0.667, 0.167], [0.667, 0.333, 0.833], [0.000, 0.000, 0.232], [0.000, 0.000, 0.768], [0.333, 0.667, 0.435], [0.333, 0.667, 0.899], [0.667, 0.333, 0.101], [0.667, 0.333, 0.565]],
  "sg": "R-3m"
}

Record 10
{
  "formula": "Ca2BeIr",
  "functional": "PBE-GGA",
  "state": "relaxed",
  "cell": [[3.208, 0.000, 0.000], [0.000, 3.208, 0.000], [0.000, 0.000, 8.316]],
  "species": ["Ca", "Ca", "Be", "Ir"],
  "frac_coords": [[0.000, 0.000, 0.000], [0.500, 0.500, 0.404], [0.500, 0.500, 0.741], [0.000, 0.000, 0.654]],
  "sg": "P4mm"
}

Record 11
{
  "formula": "Ca2BeIr",
  "functional": "PBE-GGA",
  "state": "relaxed",
  "cell": [[8.098, 0.000, 0.000], [0.000, 3.174, 0.000], [-0.981, 0.000, 7.117]],
  "species": ["Ca", "Ca", "Ca", "Ca", "Be", "Be", "Ir", "Ir"],
  "frac_coords": [[0.244, 0.000, 0.229], [0.256, 0.500, 0.771], [0.744, 0.500, 0.229], [0.756, 0.000, 0.771], [0.000, 0.000, 0.500], [0.500, 0.500, 0.500], [0.000, 0.500, 0.000], [0.500, 0.000, 0.000]],
  "sg": "C2/m"
}

Record 12
{
  "formula": "Ca3BeIr",
  "functional": "PBE-GGA",
  "state": "relaxed",
  "cell": [[5.433, 0.000, 0.000], [0.000, 5.433, 0.000], [0.000, 0.000, 5.433]],
  "species": ["Ca", "Ca", "Ca", "Be", "Ir"],
  "frac_coords": [[0.000, 0.000, 0.500], [0.000, 0.500, 0.000], [0.500, 0.000, 0.000], [0.500, 0.500, 0.500], [0.000, 0.000, 0.000]],
  "sg": "Pm-3m"
}

Number 1: electronic total energy -34.720 eV per cell, calculated density 5.2 g cm⁻³, calculated volume 22.57 Å³ per atom. Number 2: electronic total energy -36.208 eV per cell, calculated density 4.6 g cm⁻³, calculated volume 25.21 Å³ per atom. Number 3: electronic total energy -90.034 eV per cell, calculated density 11.3 g cm⁻³, calculated volume 15.87 Å³ per atom. Number 4: electronic total energy -9.815 eV per cell, calculated density 5.6 g cm⁻³, calculated volume 15.44 Å³ per atom. Number 5: electronic total energy -61.846 eV per cell, calculated density 8.2 g cm⁻³, calculated volume 16.23 Å³ per atom. Number 6: electronic total energy -24.063 eV per cell, calculated density 11.9 g cm⁻³, calculated volume 15.13 Å³ per atom. Number 7: electronic total energy -31.947 eV per cell, calculated density 6.0 g cm⁻³, calculated volume 19.46 Å³ per atom. Number 8: electronic total energy -23.562 eV per cell, calculated density 11.2 g cm⁻³, calculated volume 16.04 Å³ per atom. Number 9: electronic total energy -70.927 eV per cell, calculated density 11.8 g cm⁻³, calculated volume 15.24 Å³ per atom. Number 10: electronic total energy -17.305 eV per cell, calculated density 5.5 g cm⁻³, calculated volume 21.39 Å³ per atom. Number 11: electronic total energy -29.862 eV per cell, calculated density 5.1 g cm⁻³, calculated volume 22.87 Å³ per atom. Number 12: electronic total energy -17.226 eV per cell, calculated density 3.3 g cm⁻³, calculated volume 32.07 Å³ per atom.